Y3ErBi3: optimized geometry, GGA-PBE.

a = 8.1923 Å, b = 8.1923 Å, c = 8.1923 Å
α = 67.32°, β = 67.32°, γ = 67.32°
Last column: nearest neighbours and their distance in Å.
Element x y z (fractional)
Y 0.0831 0.8258 0.3372  5 Bi 3.13-3.37
Y 0.1742 0.6628 0.9169  5 Bi 3.13-3.37
Y 0.3372 0.0831 0.8258  5 Bi 3.13-3.37
Y 0.6628 0.9169 0.1742  5 Bi 3.13-3.37
Y 0.8258 0.3372 0.0831  5 Bi 3.13-3.37
Y 0.9169 0.1742 0.6628  5 Bi 3.13-3.37
Er 0.3332 0.3332 0.3332  6 Bi 3.21-3.23
Er 0.6668 0.6668 0.6668  6 Bi 3.21-3.23
Bi 0.0823 0.4767 0.6932  5 Y 3.13-3.37, 2 Er 3.21-3.23
Bi 0.3068 0.9177 0.5233  5 Y 3.13-3.37, 2 Er 3.21-3.23
Bi 0.4767 0.6932 0.0823  5 Y 3.13-3.37, 2 Er 3.21-3.23
Bi 0.5233 0.3068 0.9177  5 Y 3.13-3.37, 2 Er 3.21-3.23
Bi 0.6932 0.0823 0.4767  5 Y 3.13-3.37, 2 Er 3.21-3.23
Bi 0.9177 0.5233 0.3068  5 Y 3.13-3.37, 2 Er 3.21-3.23

Its total magnetization is 0.000 μB per atom. The calculation puts the formation energy at -0.675 eV per atom. The volume comes out at 32.1 Å³ per atom. The value obtained for the energy above the lowest structure with this stoichiometry is 69 meV per atom.